The following is a DFT calculation (PBE+U) of crystalline VAgO3 at its relaxed geometry.

```
20
Lattice="-1.1331 6.6557 3.6184 -7.5481 -0.1670 -1.2939 -2.5266 -1.3316 5.1489" Properties=species:S:1:pos:R:3 pbc="T T T"
Ag -6.4743 1.3139 1.2992
O -1.8398 4.0710 2.9251
O -4.6237 5.4541 4.6395
Ag -6.8523 1.5897 4.5516
Ag -4.3555 3.5675 2.9218
V -2.8386 0.3142 1.4032
O -7.2028 3.6214 6.3039
O -4.1820 2.0253 4.5758
O -4.0050 1.5357 1.1695
O -6.5841 -0.2970 2.8339
O -1.4321 0.6854 0.3200
O -8.8495 4.7790 4.3208
V -3.0496 0.7677 4.7835
Ag -4.7335 3.8432 6.1742
O -9.3680 1.0861 4.5484
O -9.7757 4.4717 7.1534
O -7.0258 3.1318 2.8976
V -8.1582 4.3895 2.6899
O -2.3583 0.3781 3.1526
V -8.3692 4.8429 6.0702
```

Results
E_tot ... -127.259 eV for the cell shown
Calculated volume ... 15.91 Å³ per atom